[1]
# PBE-GGA Ba2CrPt, relaxed
data_Ba2CrPt
_symmetry_space_group_name_H-M 'I -4 m 2'
_symmetry_Int_Tables_number 119
_symmetry_space_group_name_Hall 'I -4 -2'
_cell_length_a 4.706
_cell_length_b 4.706
_cell_length_c 11.115
_cell_angle_alpha 90.00
_cell_angle_beta 90.00
_cell_angle_gamma 90.00
loop_
_atom_site_label
_atom_site_type_symbol
_atom_site_fract_x
_atom_site_fract_y
_atom_site_fract_z
Ba1 Ba 0.000 0.000 0.000
Ba2 Ba 0.000 0.500 0.250
Cr1 Cr 0.000 0.500 0.750
Pt1 Pt 0.000 0.000 0.500
# size of the total moment = 9.36 μB per cell
# crystal system = tetragonal
# DFT formation energy = 0.24 eV/atom
# excess energy over the best structure of this formula in the dataset = 0.4026 eV/atom

=====

[2]
# PBE-GGA BaCrPt4, relaxed
data_BaCrPt4
_symmetry_space_group_name_H-M 'F -4 3 m'
_symmetry_Int_Tables_number 216
_symmetry_space_group_name_Hall 'F -4 2 3'
_cell_length_a 7.785
_cell_length_b 7.785
_cell_length_c 7.785
_cell_angle_alpha 90.00
_cell_angle_beta 90.00
_cell_angle_gamma 90.00
loop_
_atom_site_label
_atom_site_type_symbol
_atom_site_fract_x
_atom_site_fract_y
_atom_site_fract_z
Ba1 Ba 0.000 0.000 0.000
Cr1 Cr 0.250 0.250 0.750
Pt1 Pt 0.124 0.124 0.376
# size of the total moment = 19.24 μB per cell
# crystal system = cubic
# DFT formation energy = -0.23 eV/atom